[1]
VASP calculation (PBEsol) on a geometry-optimized LiNbSe2Cl structure.

- formation energy (no corrections) (eV per formula unit) = -0.8
- crystal system = tetragonal

Cell: 4.8393 4.8393 6.8791 Å, 90.00 90.00 90.00°
Space group P4/mmm (No. 123)
Asymmetric unit:
Li 0.0000 0.0000 0.0000 (multiplicity 1)
Nb 0.0000 0.0000 0.5000 (multiplicity 1)
Se 0.0000 0.5000 0.5000 (multiplicity 2)
Cl 0.5000 0.5000 0.0000 (multiplicity 1)



[2]
VASP calculation (PBEsol) on a geometry-optimized YMnRe structure.

- formation energy from the elements (eV/atom) = 0.229
- crystal system = hexagonal

Cell: 3.9070 3.9070 4.4093 Å, 90.00 90.00 120.00°
Space group P-6m2 (No. 187)
Asymmetric unit:
Y 0.0000 0.0000 0.0000 (multiplicity 1)
Mn 0.6667 0.3333 0.5000 (multiplicity 1)
Re 0.3333 0.6667 0.5000 (multiplicity 1)



[3]
VASP calculation (PBEsol) on a geometry-optimized HgTeMoN2 structure.

- formation energy (no corrections) (eV per formula unit) = 1.8
- crystal system = tetragonal

Cell: 3.9446 3.9446 5.6335 Å, 90.00 90.00 90.00°
Space group P4/mmm (No. 123)
Asymmetric unit:
Hg 0.0000 0.0000 0.0000 (multiplicity 1)
Te 0.5000 0.5000 0.0000 (multiplicity 1)
Mo 0.5000 0.5000 0.5000 (multiplicity 1)
N 0.0000 0.5000 0.5000 (multiplicity 2)



[4]
VASP calculation (PBEsol) on a geometry-optimized BaCo2Ag structure.

- formation energy from the elements (eV/atom) = 0.526
- crystal system = orthorhombic

Cell: 3.6895 4.0507 11.2443 Å, 90.00 90.00 90.00°
Space group Amm2 (No. 38)
Asymmetric unit:
Ba 0.0000 0.0000 0.0000 (multiplicity 2)
Co 0.0000 0.0000 0.7334 (multiplicity 2)
Co 0.5000 0.0000 0.6346 (multiplicity 2)
Ag 0.5000 0.0000 0.2790 (multiplicity 2)



| no. | total DFT energy (no corrections) (eV per cell) |
| --- | --- |
| 1 | -23.2 |
| 2 | -29.2 |
| 3 | -31.1 |
| 4 | -37.7 |